Computed, not measured: an optimized crystal structure of PrErPa at the PBE level of DFT.

The structure in POSCAR format:
```
PrErPa
1.0
-1.710 1.710 7.741
1.710 -1.710 7.741
1.710 1.710 -7.741
Pr Er Pa
1 1 1
Cartesian
0.000 0.000 0.000
0.000 0.000 10.683
0.000 0.000 5.278
```

Properties
magnetic moment = 0.00 μB/atom
distance to the lowest polymorph of the same formula = 20 meV/atom
space-group type = No. 107
formation energy from the elements = 0.179 eV per atom